{
  "formula": "AlAgMo2O8",
  "functional": "PBE with a Hubbard U",
  "state": "relaxed",
  "cell": [[2.581, 1.490, 7.691], [-2.581, 1.490, 7.691], [0.000, -2.980, 7.691]],
  "species": ["Al", "Ag", "Mo", "Mo", "O", "O", "O", "O", "O", "O", "O", "O"],
  "frac_coords": [[0.000, 0.000, 0.000], [0.500, 0.500, 0.500], [0.260, 0.260, 0.260], [0.740, 0.740, 0.740], [0.019, 0.361, 0.767], [0.183, 0.183, 0.183], [0.233, 0.981, 0.639], [0.361, 0.767, 0.019], [0.639, 0.233, 0.981], [0.767, 0.019, 0.361], [0.817, 0.817, 0.817], [0.981, 0.639, 0.233]],
  "e_tot_ev_per_cell": -79.710,
  "sg": "No. 148",
  "magmom_total_mub_per_cell": 0.000
}